# 1
# Pm3Ho2Sc (GGA-PBE, relaxed)
# DOS at the Fermi energy = 1.377 states/eV/atom
# Total DFT energy (no corrections) = -4.925 eV per atom
# Formation enthalpy at 0 K = 0.03 eV per atom
# Offset from the most stable computed form = 0.000 eV/atom
# Magnetic moment = 0.0 μB per cell
data_Pm3Ho2Sc
_chemical_formula_sum 'Pm6 Ho4 Sc2'
_cell_length_a 7.130
_cell_length_b 7.144
_cell_length_c 8.834
_cell_angle_alpha 78.03
_cell_angle_beta 77.98
_cell_angle_gamma 60.38
_space_group_name_H-M_alt 'P -1'
_space_group_IT_number 2
loop_
_space_group_symop_operation_xyz
'x,y,z'
'-x,-y,-z'
loop_
_atom_site_label
_atom_site_type_symbol
_atom_site_fract_x
_atom_site_fract_y
_atom_site_fract_z
Pm1 Pm 0.137 0.137 0.172
Pm2 Pm 0.139 0.639 0.165
Pm3 Pm 0.252 0.250 0.502
Ho1 Ho 0.363 0.861 0.833
Ho2 Ho 0.366 0.364 0.826
Sc1 Sc 0.252 0.748 0.501

=====

# 2
# PmHo4Sc5 (GGA-PBE, relaxed)
# DOS at the Fermi energy = 1.500 states/eV/atom
# Total DFT energy (no corrections) = -5.222 eV per atom
# Formation enthalpy at 0 K = 0.25 eV per atom
# Magnetic moment = 0.0 μB per cell
data_PmHo4Sc5
_chemical_formula_sum 'Pm2 Ho8 Sc10'
_cell_length_a 10.086
_cell_length_b 10.086
_cell_length_c 5.659
_cell_angle_alpha 90.00
_cell_angle_beta 90.00
_cell_angle_gamma 90.00
_space_group_name_H-M_alt 'I 4 m m'
_space_group_IT_number 107
_space_group_name_Hall 'I 4 -2'
loop_
_atom_site_label
_atom_site_type_symbol
_atom_site_fract_x
_atom_site_fract_y
_atom_site_fract_z
Pm1 Pm 0.000 0.000 0.000
Ho1 Ho 0.000 0.323 0.739
Sc1 Sc 0.000 0.000 0.525
Sc2 Sc 0.190 0.190 0.276

=====

# 3
# Pm4Ho3Sc2 (GGA-PBE, relaxed)
# DOS at the Fermi energy = 1.553 states/eV/atom
# Total DFT energy (no corrections) = -4.956 eV per atom
# Formation enthalpy at 0 K = 0.09 eV per atom
# Magnetic moment = 0.0 μB per cell
data_Pm4Ho3Sc2
_chemical_formula_sum 'Pm8 Ho6 Sc4'
_cell_length_a 12.635
_cell_length_b 3.583
_cell_length_c 13.981
_cell_angle_alpha 90.00
_cell_angle_beta 115.86
_cell_angle_gamma 90.00
_space_group_name_H-M_alt 'C 1 2/m 1'
_space_group_IT_number 12
loop_
_space_group_symop_operation_xyz
'x,y,z'
'-x,-y,-z'
'-x,y,-z'
'x,-y,z'
'x+1/2,y+1/2,z'
'-x+1/2,-y+1/2,-z'
'-x+1/2,y+1/2,-z'
'x+1/2,-y+1/2,z'
loop_
_atom_site_label
_atom_site_type_symbol
_atom_site_fract_x
_atom_site_fract_y
_atom_site_fract_z
Pm1 Pm 0.219 0.000 0.371
Pm2 Pm 0.220 0.500 0.114
Ho1 Ho 0.000 0.000 0.500
Ho2 Ho 0.010 0.000 0.887
Sc1 Sc 0.047 0.500 0.708

=====

# 4
# Pm2HoSc4 (GGA-PBE, relaxed)
# DOS at the Fermi energy = 1.309 states/eV/atom
# Total DFT energy (no corrections) = -5.435 eV per atom
# Formation enthalpy at 0 K = 0.19 eV per atom
# Magnetic moment = 0.0 μB per cell
data_Pm2HoSc4
_chemical_formula_sum 'Pm8 Ho4 Sc16'
_cell_length_a 15.648
_cell_length_b 6.501
_cell_length_c 10.830
_cell_angle_alpha 90.00
_cell_angle_beta 133.61
_cell_angle_gamma 90.00
_space_group_name_H-M_alt 'C 1 2 1'
_space_group_IT_number 5
loop_
_space_group_symop_operation_xyz
'x,y,z'
'-x,y,-z'
'x+1/2,y+1/2,z'
'-x+1/2,y+1/2,-z'
loop_
_atom_site_label
_atom_site_type_symbol
_atom_site_fract_x
_atom_site_fract_y
_atom_site_fract_z
Pm1 Pm 0.000 0.000 0.000
Pm2 Pm 0.000 0.008 0.500
Pm3 Pm 0.221 0.872 0.456
Ho1 Ho 0.224 0.877 0.985
Sc1 Sc 0.001 0.660 0.751
Sc2 Sc 0.002 0.232 0.755
Sc3 Sc 0.141 0.542 0.643
Sc4 Sc 0.147 0.482 0.146

=====

# 5
# Pm8HoSc2 (GGA-PBE, relaxed)
# DOS at the Fermi energy = 1.665 states/eV/atom
# Total DFT energy (no corrections) = -4.898 eV per atom
# Formation enthalpy at 0 K = 0.12 eV per atom
# Offset from the most stable computed form = 0.000 eV/atom
# Magnetic moment = 0.0 μB per cell
data_Pm8HoSc2
_chemical_formula_sum 'Pm16 Ho2 Sc4'
_cell_length_a 5.499
_cell_length_b 8.388
_cell_length_c 15.638
_cell_angle_alpha 90.00
_cell_angle_beta 90.00
_cell_angle_gamma 90.00
_space_group_name_H-M_alt 'I m m m'
_space_group_IT_number 71
_space_group_name_Hall '-I 2 2'
loop_
_atom_site_label
_atom_site_type_symbol
_atom_site_fract_x
_atom_site_fract_y
_atom_site_fract_z
Pm1 Pm 0.000 0.000 0.161
Pm2 Pm 0.000 0.203 0.357
Pm3 Pm 0.000 0.301 0.000
Ho1 Ho 0.000 0.500 0.500
Sc1 Sc 0.000 0.500 0.201

=====

# 6
# Pm5Ho2Sc4 (GGA-PBE, relaxed)
# DOS at the Fermi energy = 1.736 states/eV/atom
# Total DFT energy (no corrections) = -5.136 eV per atom
# Formation enthalpy at 0 K = 0.16 eV per atom
# Magnetic moment = 0.0 μB per cell
data_Pm5Ho2Sc4
_chemical_formula_sum 'Pm10 Ho4 Sc8'
_cell_length_a 3.438
_cell_length_b 8.769
_cell_length_c 22.807
_cell_angle_alpha 90.00
_cell_angle_beta 90.00
_cell_angle_gamma 90.00
_space_group_name_H-M_alt 'I m m m'
_space_group_IT_number 71
_space_group_name_Hall '-I 2 2'
loop_
_atom_site_label
_atom_site_type_symbol
_atom_site_fract_x
_atom_site_fract_y
_atom_site_fract_z
Pm1 Pm 0.000 0.000 0.000
Pm2 Pm 0.000 0.297 0.358
Ho1 Ho 0.000 0.500 0.230
Sc1 Sc 0.000 0.176 0.500
Sc2 Sc 0.000 0.500 0.093

=====

# 7
# PmHo12Sc7 (GGA-PBE, relaxed)
# DOS at the Fermi energy = 1.834 states/eV/atom
# Total DFT energy (no corrections) = -4.935 eV per atom
# Formation enthalpy at 0 K = 0.27 eV per atom
# Offset from the most stable computed form = 0.000 eV/atom
# Magnetic moment = 0.0 μB per cell
data_PmHo12Sc7
_chemical_formula_sum 'Pm3 Ho36 Sc21'
_cell_length_a 16.0895
_cell_length_b 16.0895
_cell_length_c 7.9645
_cell_angle_alpha 90.00
_cell_angle_beta 90.00
_cell_angle_gamma 120.00
_space_group_name_H-M_alt 'R -3 m'
_space_group_IT_number 166
_space_group_name_Hall '-R 3 2"'
loop_
_atom_site_label
_atom_site_type_symbol
_atom_site_fract_x
_atom_site_fract_y
_atom_site_fract_z
Pm1 Pm 0.0000 0.0000 0.0000
Ho1 Ho 0.0000 0.2829 0.0000
Ho2 Ho 0.1106 0.2212 0.3119
Sc1 Sc 0.0000 0.0000 0.5000
Sc2 Sc 0.1102 0.5551 0.3962

=====

# 8
# PmHo3Sc2 (GGA-PBE, relaxed)
# DOS at the Fermi energy = 1.707 states/eV/atom
# Total DFT energy (no corrections) = -5.041 eV per atom
# Formation enthalpy at 0 K = 0.15 eV per atom
# Offset from the most stable computed form = 0.000 eV/atom
# Magnetic moment = 0.0 μB per cell
data_PmHo3Sc2
_chemical_formula_sum 'Pm4 Ho12 Sc8'
_cell_length_a 22.584
_cell_length_b 3.392
_cell_length_c 9.884
_cell_angle_alpha 90.00
_cell_angle_beta 107.95
_cell_angle_gamma 90.00
_space_group_name_H-M_alt 'C 1 2/m 1'
_space_group_IT_number 12
loop_
_space_group_symop_operation_xyz
'x,y,z'
'-x,-y,-z'
'-x,y,-z'
'x,-y,z'
'x+1/2,y+1/2,z'
'-x+1/2,-y+1/2,-z'
'-x+1/2,y+1/2,-z'
'x+1/2,-y+1/2,z'
loop_
_atom_site_label
_atom_site_type_symbol
_atom_site_fract_x
_atom_site_fract_y
_atom_site_fract_z
Pm1 Pm 0.183 0.000 0.045
Ho1 Ho 0.060 0.000 0.436
Ho2 Ho 0.067 0.500 0.769
Ho3 Ho 0.197 0.000 0.708
Sc1 Sc 0.070 0.500 0.141
Sc2 Sc 0.192 0.000 0.374

=====

# 9
# Pm12Ho5Sc (GGA-PBE, relaxed)
# DOS at the Fermi energy = 1.902 states/eV/atom
# Total DFT energy (no corrections) = -4.695 eV per atom
# Formation enthalpy at 0 K = 0.10 eV per atom
# Magnetic moment = 0.0 μB per cell
data_Pm12Ho5Sc
_chemical_formula_sum 'Pm24 Ho10 Sc2'
_cell_length_a 11.234
_cell_length_b 17.869
_cell_length_c 5.917
_cell_angle_alpha 90.00
_cell_angle_beta 90.01
_cell_angle_gamma 90.00
_space_group_name_H-M_alt 'C 1 2/m 1'
_space_group_IT_number 12
loop_
_space_group_symop_operation_xyz
'x,y,z'
'-x,-y,-z'
'-x,y,-z'
'x,-y,z'
'x+1/2,y+1/2,z'
'-x+1/2,-y+1/2,-z'
'-x+1/2,y+1/2,-z'
'x+1/2,-y+1/2,z'
loop_
_atom_site_label
_atom_site_type_symbol
_atom_site_fract_x
_atom_site_fract_y
_atom_site_fract_z
Pm1 Pm 0.155 0.000 0.001
Pm2 Pm 0.156 0.500 0.499
Pm3 Pm 0.161 0.159 0.499
Pm4 Pm 0.163 0.336 0.001
Ho1 Ho 0.000 0.171 0.000
Ho2 Ho 0.000 0.327 0.500
Ho3 Ho 0.000 0.500 0.000
Sc1 Sc 0.000 0.000 0.500

=====

# 10
# Pm12HoSc6 (GGA-PBE, relaxed)
# DOS at the Fermi energy = 1.530 states/eV/atom
# Total DFT energy (no corrections) = -4.969 eV per atom
# Formation enthalpy at 0 K = 0.27 eV per atom
# Offset from the most stable computed form = 0.038 eV/atom
# Magnetic moment = 0.0 μB per cell
data_Pm12HoSc6
_chemical_formula_sum 'Pm36 Ho3 Sc18'
_cell_length_a 14.4534
_cell_length_b 14.4534
_cell_length_c 10.1761
_cell_angle_alpha 90.00
_cell_angle_beta 90.00
_cell_angle_gamma 120.00
_space_group_name_H-M_alt 'R -3'
_space_group_IT_number 148
_space_group_name_Hall '-R 3'
loop_
_atom_site_label
_atom_site_type_symbol
_atom_site_fract_x
_atom_site_fract_y
_atom_site_fract_z
Pm1 Pm 0.0532 0.2522 0.0799
Pm2 Pm 0.0634 0.2198 0.4155
Ho1 Ho 0.0000 0.0000 0.0000
Sc1 Sc 0.0536 0.2214 0.7594

=====

# 11
# Pm7Ho3Sc (GGA-PBE, relaxed)
# DOS at the Fermi energy = 1.303 states/eV/atom
# Total DFT energy (no corrections) = -4.617 eV per atom
# Formation enthalpy at 0 K = 0.23 eV per atom
# Offset from the most stable computed form = 0.038 eV/atom
# Magnetic moment = 0.0 μB per cell
data_Pm7Ho3Sc
_chemical_formula_sum 'Pm14 Ho6 Sc2'
_cell_length_a 12.678
_cell_length_b 11.322
_cell_length_c 5.796
_cell_angle_alpha 90.00
_cell_angle_beta 117.17
_cell_angle_gamma 90.00
_space_group_name_H-M_alt 'C 1 2/m 1'
_space_group_IT_number 12
loop_
_space_group_symop_operation_xyz
'x,y,z'
'-x,-y,-z'
'-x,y,-z'
'x,-y,z'
'x+1/2,y+1/2,z'
'-x+1/2,-y+1/2,-z'
'-x+1/2,y+1/2,-z'
'x+1/2,-y+1/2,z'
loop_
_atom_site_label
_atom_site_type_symbol
_atom_site_fract_x
_atom_site_fract_y
_atom_site_fract_z
Pm1 Pm 0.000 0.000 0.000
Pm2 Pm 0.190 0.287 0.690
Pm3 Pm 0.214 0.500 0.213
Ho1 Ho 0.000 0.297 0.000
Ho2 Ho 0.000 0.500 0.500
Sc1 Sc 0.000 0.000 0.500

=====

# 12
# Pm2Ho7Sc (GGA-PBE, relaxed)
# DOS at the Fermi energy = 1.508 states/eV/atom
# Total DFT energy (no corrections) = -4.615 eV per atom
# Formation enthalpy at 0 K = 0.17 eV per atom
# Magnetic moment = 0.0 μB per cell
data_Pm2Ho7Sc
_chemical_formula_sum 'Pm4 Ho14 Sc2'
_cell_length_a 6.451
_cell_length_b 28.518
_cell_length_c 3.450
_cell_angle_alpha 90.00
_cell_angle_beta 90.00
_cell_angle_gamma 90.00
_space_group_name_H-M_alt 'C m m m'
_space_group_IT_number 65
_space_group_name_Hall '-C 2 2'
loop_
_atom_site_label
_atom_site_type_symbol
_atom_site_fract_x
_atom_site_fract_y
_atom_site_fract_z
Pm1 Pm 0.000 0.207 0.000
Ho1 Ho 0.000 0.000 0.000
Ho2 Ho 0.000 0.316 0.500
Ho3 Ho 0.244 0.404 0.000
Sc1 Sc 0.000 0.500 0.500